Compound: LiInOs2
Source: Alexandria via LeMat-Bulk
Functional: PBE
Structure: relaxed

ΔE_f	0.276	eV/atom
crystal system	tetragonal
N(E_F)	2.52	states/eV/f.u.
size of the total moment	0.0	Bohr magnetons per cell

a b c (Å): 4.398 4.398 4.398
angles (deg): 119.72 119.72 90.49
Fractional positions:
Li1 0.000 0.000 0.000
In1 0.250 0.750 0.500
Os1 0.500 0.500 0.000
Os2 0.750 0.250 0.500

---

Compound: GdZrCo4
Source: Alexandria via LeMat-Bulk
Functional: PBE
Structure: relaxed

ΔE_f	-0.204	eV/atom
crystal system	cubic
N(E_F)	7.76	states/eV/f.u.
size of the total moment	4.1	Bohr magnetons per cell

a b c (Å): 4.993 4.993 4.993
angles (deg): 60.00 60.00 60.00
Fractional positions:
Gd1 0.000 0.000 0.000
Zr1 0.250 0.250 0.250
Co1 0.126 0.625 0.625
Co2 0.625 0.126 0.625
Co3 0.625 0.625 0.126
Co4 0.625 0.625 0.625

---

Compound: Ti2Pb2I
Source: Alexandria via LeMat-Bulk
Functional: PBE
Structure: relaxed

crystal system	tetragonal
N(E_F)	5.33	states/eV/f.u.
size of the total moment	0.0	Bohr magnetons per cell
formation energy without anion corrections	0.139	eV per atom

a b c (Å): 7.825 7.825 3.905
angles (deg): 90.00 90.00 90.00
Fractional positions:
Ti1 0.154 0.346 0.000
Ti2 0.346 0.846 0.000
Ti3 0.654 0.154 0.000
Ti4 0.846 0.654 0.000
Pb1 0.141 0.641 0.500
Pb2 0.359 0.141 0.500
Pb3 0.641 0.859 0.500
Pb4 0.859 0.359 0.500
I1 0.000 0.000 0.000
I2 0.500 0.500 0.000

---

Compound: SmHfAl4
Source: Alexandria via LeMat-Bulk
Functional: PBE
Structure: relaxed

ΔE_f	-0.423	eV/atom
crystal system	cubic
N(E_F)	2.35	states/eV/f.u.
size of the total moment	0.0	Bohr magnetons per cell

a b c (Å): 5.463 5.463 5.463
angles (deg): 60.00 60.00 60.00
Fractional positions:
Sm1 0.000 0.000 0.000
Hf1 0.750 0.750 0.750
Al1 0.376 0.376 0.376
Al2 0.376 0.376 0.873
Al3 0.376 0.873 0.376
Al4 0.873 0.376 0.376

---

Compound: Ca3Dy2TaP6
Source: Alexandria via LeMat-Bulk
Functional: PBE
Structure: relaxed

ΔE_f	-1.148	eV/atom
crystal system	monoclinic
N(E_F)	4.93	states/eV/f.u.
size of the total moment	0.0	Bohr magnetons per cell

a b c (Å): 6.822 6.822 7.026
angles (deg): 99.39 99.39 120.04
Fractional positions:
Ca1 0.000 0.000 0.000
Ca2 0.328 0.672 0.000
Ca3 0.672 0.328 0.000
Dy1 0.166 0.834 0.500
Dy2 0.834 0.166 0.500
Ta1 0.500 0.500 0.500
P1 0.114 0.425 0.273
P2 0.268 0.268 0.728
P3 0.425 0.114 0.273
P4 0.575 0.886 0.727
P5 0.732 0.732 0.272
P6 0.886 0.575 0.727

---

Compound: Li3In3SbS8
Source: Alexandria via LeMat-Bulk
Functional: PBE
Structure: relaxed

crystal system	trigonal
N(E_F)	3.25	states/eV/f.u.
size of the total moment	0.0	Bohr magnetons per cell
formation energy without anion corrections	-0.718	eV per atom

a b c (Å): 7.603 7.603 7.603
angles (deg): 59.45 59.45 59.45
Fractional positions:
Li1 0.000 0.500 0.500
Li2 0.500 0.000 0.500
Li3 0.500 0.500 0.000
In1 0.000 0.000 0.500
In2 0.000 0.500 0.000
In3 0.500 0.000 0.000
Sb1 0.500 0.500 0.500
S1 0.247 0.247 0.247
S2 0.250 0.747 0.747
S3 0.253 0.253 0.750
S4 0.253 0.750 0.253
S5 0.747 0.250 0.747
S6 0.747 0.747 0.250
S7 0.750 0.253 0.253
S8 0.753 0.753 0.753

---

Compound: K4TeN12
Source: Alexandria via LeMat-Bulk
Functional: PBE
Structure: relaxed

crystal system	cubic
N(E_F)	6.86	states/eV/f.u.
size of the total moment	0.0	Bohr magnetons per cell
formation energy without anion corrections	-0.174	eV per atom

a b c (Å): 8.246 8.246 8.246
angles (deg): 109.47 109.47 109.47
Fractional positions:
K1 0.000 0.000 0.500
K2 0.000 0.500 0.000
K3 0.500 0.000 0.000
K4 0.500 0.500 0.500
Te1 0.000 0.000 0.000
N1 0.189 0.748 0.440
N2 0.252 0.440 0.692
N3 0.252 0.560 0.811
N4 0.308 0.748 0.560
N5 0.440 0.189 0.748
N6 0.440 0.692 0.252
N7 0.560 0.308 0.748
N8 0.560 0.811 0.252
N9 0.692 0.252 0.440
N10 0.748 0.440 0.189
N11 0.748 0.560 0.308
N12 0.811 0.252 0.560

---

Compound: TbGdTh
Source: Alexandria via LeMat-Bulk
Functional: PBE
Structure: relaxed

ΔE_f	0.022	eV/atom
crystal system	tetragonal
N(E_F)	3.98	states/eV/f.u.
size of the total moment	7.3	Bohr magnetons per cell

a b c (Å): 7.929 7.929 7.929
angles (deg): 153.83 153.83 37.34
Fractional positions:
Tb1 0.000 0.000 0.000
Gd1 0.320 0.320 0.000
Th1 0.660 0.660 0.000

---

Compound: CeSbSe2O
Source: Alexandria via LeMat-Bulk
Functional: PBE
Structure: relaxed

crystal system	tetragonal
N(E_F)	7.84	states/eV/f.u.
size of the total moment	1.3	Bohr magnetons per cell
formation energy without anion corrections	-1.638	eV per atom

a b c (Å): 4.065 4.065 13.986
angles (deg): 90.00 90.00 90.00
Fractional positions:
Ce1 0.250 0.250 0.087
Ce2 0.750 0.750 0.913
Sb1 0.250 0.250 0.619
Sb2 0.750 0.750 0.381
Se1 0.250 0.250 0.390
Se2 0.250 0.250 0.811
Se3 0.750 0.750 0.189
Se4 0.750 0.750 0.610
O1 0.250 0.750 0.000
O2 0.750 0.250 0.000

---

Compound: Dy2Tl3SbTe6
Source: Alexandria via LeMat-Bulk
Functional: PBE
Structure: relaxed

crystal system	monoclinic
N(E_F)	0.00	states/eV/f.u.
size of the total moment	0.0	Bohr magnetons per cell
formation energy without anion corrections	-0.774	eV per atom

a b c (Å): 7.752 7.752 8.508
angles (deg): 98.73 98.73 120.04
Fractional positions:
Dy1 0.167 0.833 0.000
Dy2 0.833 0.167 0.000
Tl1 0.000 0.000 0.500
Tl2 0.331 0.669 0.500
Tl3 0.669 0.331 0.500
Sb1 0.500 0.500 0.000
Te1 0.097 0.430 0.788
Te2 0.239 0.239 0.214
Te3 0.430 0.097 0.788
Te4 0.570 0.903 0.212
Te5 0.761 0.761 0.786
Te6 0.903 0.570 0.212

---

Compound: Na3Ca3TcO8
Source: Alexandria via LeMat-Bulk
Functional: PBE
Structure: relaxed

crystal system	trigonal
size of the total moment	0.0	Bohr magnetons per cell
formation energy without anion corrections	-2.089	eV per atom

a b c (Å): 6.761 6.761 6.761
angles (deg): 59.70 59.70 59.70
Fractional positions:
Na1 0.000 0.500 0.500
Na2 0.500 0.000 0.500
Na3 0.500 0.500 0.000
Ca1 0.000 0.000 0.500
Ca2 0.000 0.500 0.000
Ca3 0.500 0.000 0.000
Tc1 0.500 0.500 0.500
O1 0.239 0.239 0.239
O2 0.294 0.701 0.701
O3 0.299 0.299 0.706
O4 0.299 0.706 0.299
O5 0.701 0.294 0.701
O6 0.701 0.701 0.294
O7 0.706 0.299 0.299
O8 0.761 0.761 0.761

---

Compound: RbCd2GaRu
Source: Alexandria via LeMat-Bulk
Functional: PBE
Structure: relaxed

ΔE_f	0.019	eV/atom
crystal system	tetragonal
N(E_F)	1.43	states/eV/f.u.
size of the total moment	0.0	Bohr magnetons per cell

a b c (Å): 5.349 5.349 4.851
angles (deg): 90.00 90.00 90.00
Fractional positions:
Rb1 0.000 0.000 0.000
Cd1 0.000 0.500 0.500
Cd2 0.500 0.000 0.500
Ga1 0.500 0.500 0.000
Ru1 0.500 0.500 0.500

---

Compound: InWN2
Source: Alexandria via LeMat-Bulk
Functional: PBE
Structure: relaxed

crystal system	tetragonal
N(E_F)	1.55	states/eV/f.u.
size of the total moment	0.0	Bohr magnetons per cell
formation energy without anion corrections	-0.027	eV per atom

a b c (Å): 6.149 6.149 6.149
angles (deg): 124.52 124.52 82.34
Fractional positions:
In1 0.000 0.000 0.000
In2 0.750 0.250 0.500
W1 0.250 0.750 0.500
W2 0.500 0.500 0.000
N1 0.300 0.625 0.175
N2 0.375 0.550 0.675
N3 0.450 0.125 0.825
N4 0.875 0.700 0.325

---

Compound: Dy2Zn3Au4
Source: Alexandria via LeMat-Bulk
Functional: PBE
Structure: relaxed

ΔE_f	-0.570	eV/atom
crystal system	orthorhombic
N(E_F)	4.70	states/eV/f.u.
size of the total moment	0.0	Bohr magnetons per cell

a b c (Å): 8.166 8.166 8.034
angles (deg): 90.00 90.00 139.00
Fractional positions:
Dy1 0.114 0.886 0.913
Dy2 0.386 0.614 0.413
Dy3 0.614 0.386 0.587
Dy4 0.886 0.114 0.087
Zn1 0.000 0.000 0.500
Zn2 0.026 0.474 0.750
Zn3 0.474 0.026 0.250
Zn4 0.500 0.500 0.000
Zn5 0.526 0.974 0.750
Zn6 0.974 0.526 0.250
Au1 0.183 0.817 0.531
Au2 0.200 0.300 0.750
Au3 0.300 0.200 0.250
Au4 0.317 0.683 0.031
Au5 0.683 0.317 0.969
Au6 0.700 0.800 0.750
Au7 0.800 0.700 0.250
Au8 0.817 0.183 0.469

---

Compound: KCdPd
Source: Alexandria via LeMat-Bulk
Functional: PBE
Structure: relaxed

offset from the most stable computed form	114	meV/atom
ΔE_f	-0.080	eV/atom
crystal system	hexagonal
N(E_F)	1.09	states/eV/f.u.
size of the total moment	0.0	Bohr magnetons per cell

a b c (Å): 4.644 4.644 4.937
angles (deg): 90.00 90.00 120.00
Fractional positions:
K1 0.000 0.000 0.000
Cd1 0.667 0.333 0.500
Pd1 0.333 0.667 0.500

---

Compound: Dy3BiS2
Source: Alexandria via LeMat-Bulk
Functional: PBE
Structure: relaxed

crystal system	orthorhombic
N(E_F)	4.30	states/eV/f.u.
size of the total moment	0.0	Bohr magnetons per cell
formation energy without anion corrections	-1.242	eV per atom

a b c (Å): 7.803 7.803 7.803
angles (deg): 125.03 89.64 115.62
Fractional positions:
Dy1 0.000 0.230 0.230
Dy2 0.000 0.770 0.770
Dy3 0.500 0.000 0.000
Dy4 0.500 0.230 0.730
Dy5 0.500 0.500 0.500
Dy6 0.500 0.770 0.270
Bi1 0.153 0.903 0.250
Bi2 0.847 0.097 0.750
S1 0.276 0.713 0.563
S2 0.350 0.287 0.063
S3 0.650 0.713 0.937
S4 0.724 0.287 0.437

---

Compound: Tb2CeSc3P6
Source: Alexandria via LeMat-Bulk
Functional: PBE
Structure: relaxed

ΔE_f	-1.522	eV/atom
crystal system	monoclinic
N(E_F)	4.62	states/eV/f.u.
size of the total moment	0.0	Bohr magnetons per cell

a b c (Å): 6.771 6.771 6.731
angles (deg): 99.65 99.65 119.98
Fractional positions:
Tb1 0.167 0.833 0.000
Tb2 0.833 0.167 0.000
Ce1 0.500 0.500 0.000
Sc1 0.000 0.000 0.500
Sc2 0.333 0.667 0.500
Sc3 0.667 0.333 0.500
P1 0.079 0.411 0.733
P2 0.256 0.256 0.265
P3 0.411 0.079 0.733
P4 0.589 0.921 0.267
P5 0.744 0.744 0.735
P6 0.921 0.589 0.267

---

Compound: Nd3Ag3Bi4
Source: Alexandria via LeMat-Bulk
Functional: PBE
Structure: relaxed

ΔE_f	-0.548	eV/atom
crystal system	cubic
N(E_F)	0.28	states/eV/f.u.
size of the total moment	0.0	Bohr magnetons per cell

a b c (Å): 8.962 8.962 8.962
angles (deg): 109.47 109.47 109.47
Fractional positions:
Nd1 0.125 0.875 0.250
Nd2 0.250 0.125 0.875
Nd3 0.375 0.625 0.750
Nd4 0.625 0.750 0.375
Nd5 0.750 0.375 0.625
Nd6 0.875 0.250 0.125
Ag1 0.125 0.750 0.875
Ag2 0.250 0.625 0.375
Ag3 0.375 0.250 0.625
Ag4 0.625 0.375 0.250
Ag5 0.750 0.875 0.125
Ag6 0.875 0.125 0.750
Bi1 0.000 0.176 0.500
Bi2 0.000 0.676 0.500
Bi3 0.176 0.500 0.000
Bi4 0.324 0.324 0.324
Bi5 0.500 0.000 0.176
Bi6 0.500 0.000 0.676
Bi7 0.676 0.500 0.000
Bi8 0.824 0.824 0.824

---

Compound: ScPaAs2Rh5
Source: Alexandria via LeMat-Bulk
Functional: PBE
Structure: relaxed

ΔE_f	-0.726	eV/atom
crystal system	tetragonal
N(E_F)	5.59	states/eV/f.u.
size of the total moment	0.0	Bohr magnetons per cell

a b c (Å): 4.125 4.125 8.806
angles (deg): 90.00 90.00 90.00
Fractional positions:
Sc1 0.000 0.000 0.000
Pa1 0.000 0.000 0.500
As1 0.500 0.500 0.361
As2 0.500 0.500 0.639
Rh1 0.000 0.500 0.223
Rh2 0.000 0.500 0.777
Rh3 0.500 0.000 0.223
Rh4 0.500 0.000 0.777
Rh5 0.500 0.500 0.000

---

Compound: Si2SbRh
Source: Alexandria via LeMat-Bulk
Functional: PBE
Structure: relaxed

crystal system	orthorhombic
N(E_F)	1.89	states/eV/f.u.
size of the total moment	0.0	Bohr magnetons per cell
formation energy without anion corrections	0.307	eV per atom

a b c (Å): 3.560 4.165 4.682
angles (deg): 90.00 90.00 90.00
Fractional positions:
Si1 0.000 0.000 0.000
Si2 0.500 0.500 0.000
Sb1 0.000 0.500 0.500
Rh1 0.500 0.000 0.500